AcNdDy2Tl4: relaxed, GGA-PBE.

a = 9.6144 Å, b = 9.6144 Å, c = 9.6144 Å
α = 33.46°, β = 33.46°, γ = 33.46°
Sites, in units of the cell vectors:
Ac 0.0000 0.0000 0.0000
Nd 0.5000 0.5000 0.5000
Dy 0.2493 0.2493 0.2493
Dy 0.7507 0.7507 0.7507
Tl 0.1273 0.1273 0.1273
Tl 0.3780 0.3780 0.3780
Tl 0.6220 0.6220 0.6220
Tl 0.8727 0.8727 0.8727

- calculated formation energy (eV/atom) = -0.332